[1]
# Sc2VPt

A relaxed Sc2VPt crystal (GGA-PBE, the Alexandria database).

ΔH_f (0 K), eV per atom: 0.087
Crystal system: trigonal
DOS(E_F), states/eV/f.u.: 3.9
Total moment, μB/cell: 7.518

a = 3.1218 Å, b = 3.1218 Å, c = 28.4324 Å
α = 90.00°, β = 90.00°, γ = 120.00°
Last column: nearest neighbours and their distance in Å.
Space group R-3m (No. 166, hexagonal axes)
One atom of each set of equivalent atoms:
Sc 0.0000 0.0000 0.0937 [6 per cell]  1 V 2.66, 3 Pt 2.75
V 0.0000 0.0000 0.0000 [3 per cell]  2 Sc 2.66
Pt 0.0000 0.0000 0.5000 [3 per cell]  6 Sc 2.75



[2]
# Dy5Bi2Pt

A relaxed Dy5Bi2Pt crystal (GGA-PBE, the Alexandria database).

ΔH_f (0 K), eV per atom: -0.369
Crystal system: orthorhombic
DOS(E_F), states/eV/f.u.: 8.2
Total moment, μB/cell: 1.924

a = 5.5518 Å, b = 15.8314 Å, c = 13.6966 Å
α = 90.00°, β = 90.00°, γ = 90.00°
Last column: nearest neighbours and their distance in Å.
Space group Cmcm (No. 63)
One atom of each set of equivalent atoms:
Dy 0.0000 0.0796 0.1156 [8 per cell]  1 Pt 2.74, 1 Bi 3.07
Dy 0.0000 0.2802 0.7500 [4 per cell]  2 Pt 2.78
Dy 0.0000 0.2967 0.0629 [8 per cell]  1 Pt 2.92, 2 Bi 3.13
Bi 0.0000 0.1198 0.6037 [8 per cell]  5 Dy 3.07-3.24
Pt 0.0000 0.2080 0.2500 [4 per cell]  6 Dy 2.74-2.92



- Among the records above, which one has the highest DOS(E_F)?
  Dy5Bi2Pt